This record from Alexandria via LeMat-Bulk describes a geometry-optimized DyY2Sc3As6 structure. The functional is PBE.

Structure (POSCAR):
```
DyY2Sc3As6
1.0
6.941 -0.001 0.002
-3.470 6.012 0.002
-1.157 -2.004 6.520
As Dy Sc Y
6 1 3 2
Direct
0.912 0.579 0.735 As
0.244 0.244 0.735 As
0.579 0.912 0.735 As
0.421 0.088 0.265 As
0.088 0.421 0.265 As
0.756 0.756 0.265 As
0.000 0.000 0.000 Dy
0.500 0.500 0.500 Sc
0.167 0.833 0.500 Sc
0.833 0.167 0.500 Sc
0.333 0.667 0.000 Y
0.667 0.333 0.000 Y
```

Symmetry: C2/m
Density, g/cm³: 5.6
Volume, Å³/atom: 22.68
Formation energy from the elements, eV per formula unit: -17.403
Energy, eV/atom: -6.82